No. 1
Entry from Alexandria via LeMat-Bulk: a relaxed AcNd12Sm6 crystal (PBE-GGA).

```
AcNd12Sm6
1.0
-0.249 -8.783 -0.533
8.792 -0.409 -0.132
0.266 -0.707 8.770
Ac Nd Sm
1 12 6
Direct
0.000 0.000 0.000
0.777 0.539 0.431
0.431 0.777 0.539
0.539 0.431 0.777
0.223 0.461 0.569
0.569 0.223 0.461
0.461 0.569 0.223
0.015 0.200 0.362
0.800 0.638 0.985
0.638 0.985 0.800
0.985 0.800 0.638
0.200 0.362 0.015
0.362 0.015 0.200
0.739 0.903 0.307
0.693 0.261 0.097
0.097 0.693 0.261
0.261 0.097 0.693
0.307 0.739 0.903
0.903 0.307 0.739
```

Output
space group	No. 148
E above lowest polymorph	0.0000	eV per atom
formation energy from the elements	133.4	meV per atom

***

No. 2
Entry from Alexandria via LeMat-Bulk: a relaxed Mn2FeCo crystal (PBE-GGA).

```
Mn2FeCo
1.0
-3.442 2.645 0.189
-3.635 -2.220 -0.855
3.280 -0.722 2.757
Co Fe Mn
1 1 2
Direct
0.500 0.500 0.000
0.750 0.250 0.500
0.000 0.000 0.000
0.250 0.750 0.500
```

Output
space group	No. 119
E above lowest polymorph	0.0000	eV per atom
formation energy from the elements	10.0	meV per atom

***

No. 3
Entry from Alexandria via LeMat-Bulk: a relaxed Pa2Si4Ir3Au crystal (PBE-GGA).

```
Pa2Si4Ir3Au
1.0
4.189 0.000 0.000
0.000 4.189 0.000
0.000 0.000 9.873
Pa Si Ir Au
2 4 3 1
Direct
0.500 0.000 0.242
0.000 0.500 0.758
0.500 0.500 0.000
0.000 0.000 0.000
0.500 0.000 0.639
0.000 0.500 0.361
0.000 0.000 0.500
0.500 0.000 0.876
0.000 0.500 0.124
0.500 0.500 0.500
```

Output
formation energy (no corrections)	-0.810	eV/atom
space group	No. 115

***

No. 4
Entry from Alexandria via LeMat-Bulk: a relaxed Ho2SiSe4 crystal (PBE-GGA).

```
Ho2SiSe4
1.0
-1.891 -1.713 5.724
0.288 -6.023 -1.707
6.597 3.623 -0.167
Ho Si Se
2 1 4
Direct
0.750 0.250 0.500
0.250 0.750 0.500
0.500 0.500 0.000
0.865 0.372 0.237
0.372 0.865 0.237
0.628 0.628 0.763
0.135 0.135 0.763
```

Output
formation energy (no corrections)	-0.994	eV/atom
space group	No. 121

***

No. 5
Entry from Alexandria via LeMat-Bulk: a relaxed LaTbY crystal (PBE-GGA).

```
LaTbY
1.0
3.639 0.000 0.000
0.000 3.639 0.000
-1.819 -1.819 7.666
Y Tb La
1 1 1
Direct
0.003 0.003 0.006
0.664 0.664 0.329
0.333 0.333 0.665
```

Output
space group	No. 107
E above lowest polymorph	0.0107	eV per atom
formation energy from the elements	28.2	meV per atom

***

No. 6
Entry from Alexandria via LeMat-Bulk: a relaxed YHo6Er3 crystal (PBE-GGA).

```
YHo6Er3
1.0
6.325 0.000 0.000
0.000 9.957 -5.662
0.000 -2.213 11.238
Y Ho Er
2 12 6
Direct
0.014 0.161 0.839
0.514 0.839 0.161
0.069 0.742 0.621
0.569 0.621 0.742
0.328 0.457 0.895
0.828 0.895 0.457
0.316 0.985 0.015
0.788 0.302 0.698
0.288 0.698 0.302
0.816 0.015 0.985
0.328 0.105 0.543
0.828 0.543 0.105
0.069 0.379 0.258
0.569 0.258 0.379
0.489 0.957 0.704
0.989 0.704 0.957
0.094 0.420 0.580
0.594 0.580 0.420
0.989 0.043 0.296
0.489 0.296 0.043
```

Output
space group	No. 36
E above lowest polymorph	0.0000	eV per atom
formation energy from the elements	125.0	meV per atom

***

No. 7
Entry from Alexandria via LeMat-Bulk: a relaxed Pm3GeRh crystal (PBE-GGA).

```
Pm3GeRh
1.0
6.138 0.000 0.000
0.000 9.785 -0.162
0.000 -4.060 9.245
Pm Ge Rh
12 4 4
Direct
0.083 0.649 0.881
0.917 0.351 0.119
0.583 0.851 0.119
0.417 0.149 0.881
0.609 0.449 0.808
0.391 0.551 0.192
0.109 0.051 0.192
0.891 0.949 0.808
0.118 0.214 0.595
0.882 0.786 0.405
0.618 0.286 0.405
0.382 0.714 0.595
0.846 0.590 0.587
0.154 0.410 0.413
0.346 0.910 0.413
0.654 0.090 0.587
0.174 0.388 0.902
0.826 0.612 0.098
0.674 0.112 0.098
0.326 0.888 0.902
```

Output
space group	No. 14
E above lowest polymorph	0.0671	eV per atom
formation energy from the elements	-534.6	meV per atom

***

No. 8
Entry from Alexandria via LeMat-Bulk: a relaxed KBRu crystal (PBE-GGA).

```
KBRu
1.0
-0.460 0.322 -2.944
1.760 -2.367 -0.533
-4.612 -3.505 0.337
Ru K B
1 1 1
Direct
0.500 0.500 0.500
0.000 0.000 0.000
0.000 0.000 0.500
```

Output
space group	No. 123
E above lowest polymorph	0.1833	eV per atom
formation energy from the elements	155.4	meV per atom

***

No. 9
Entry from Alexandria via LeMat-Bulk: a relaxed Ac3SnPd7 crystal (PBE-GGA).

```
Ac3SnPd7
1.0
-2.374 1.555 -3.266
0.235 -10.463 -2.287
-9.539 -1.566 6.186
Ac Sn Pd
6 2 14
Direct
0.107 0.214 0.442
0.893 0.786 0.558
0.216 0.432 0.750
0.784 0.568 0.250
0.107 0.214 0.058
0.893 0.786 0.942
0.956 0.913 0.250
0.044 0.087 0.750
0.369 0.738 0.750
0.631 0.262 0.250
0.510 0.021 0.375
0.490 0.979 0.625
0.490 0.979 0.875
0.510 0.021 0.125
0.380 0.760 0.367
0.620 0.240 0.633
0.285 0.570 0.525
0.715 0.430 0.475
0.715 0.430 0.025
0.285 0.570 0.975
0.380 0.760 0.133
0.620 0.240 0.867
```

Output
space group	No. 63
formation energy from the elements	-654.9	meV per atom

***

No. 10
Entry from Alexandria via LeMat-Bulk: a relaxed NpP2Ir5 crystal (PBE-GGA).

```
NpP2Ir5
1.0
3.735 0.000 1.242
1.435 5.612 1.923
0.048 0.318 6.095
Np P Ir
1 2 5
Direct
0.000 0.000 0.000
0.750 0.750 0.750
0.250 0.250 0.250
0.000 0.500 0.500
0.645 0.561 0.149
0.355 0.439 0.851
0.355 0.851 0.439
0.645 0.149 0.561
```

Output
space group	No. 71
formation energy from the elements	-513.4	meV per atom

***

No. 11
Entry from Alexandria via LeMat-Bulk: a relaxed Bi2IrBr crystal (PBE-GGA).

```
Bi2IrBr
1.0
-3.818 0.590 -0.822
-2.622 0.345 2.934
-0.942 8.292 0.842
Ir Bi Br
1 2 1
Direct
0.000 0.000 0.000
0.268 0.268 0.196
0.732 0.732 0.804
0.500 0.500 0.500
```

Output
formation energy (no corrections)	-0.134	eV/atom
space group	No. 166
E above lowest polymorph	0.0000	eV per atom

***

No. 12
Entry from Alexandria via LeMat-Bulk: a relaxed KLi2BeRe crystal (PBE-GGA).

```
KLi2BeRe
1.0
3.941 0.000 0.000
0.000 4.843 0.000
0.000 0.000 3.941
Re K Li Be
1 1 2 1
Direct
0.500 0.500 0.500
0.000 0.000 0.000
0.000 0.000 0.500
0.500 0.000 0.000
0.000 0.500 0.000
```

Output
space group	No. 123
formation energy from the elements	1752.2	meV per atom

***

No. 13
Entry from Alexandria via LeMat-Bulk: a relaxed Li2Cd6Ga crystal (PBE-GGA).

```
Li2Cd6Ga
1.0
-0.381 0.791 2.991
2.512 -5.829 3.485
8.100 2.600 1.967
Li Cd Ga
2 6 1
Direct
0.347 0.026 0.279
0.653 0.974 0.721
0.769 0.351 0.111
0.231 0.649 0.889
0.372 0.712 0.544
0.040 0.671 0.249
0.960 0.329 0.751
0.628 0.288 0.456
0.000 0.000 0.000
```

Output
space group	No. 12
E above lowest polymorph	0.0177	eV per atom
formation energy from the elements	-109.3	meV per atom

***

Number 1: VASP energy -4.584 eV per atom, spin magnetization 0.0 μB/cell. Number 2: VASP energy -8.467 eV per atom, spin magnetization 1.1 μB/cell. Number 3: VASP energy -7.864 eV per atom, spin magnetization 0.0 μB/cell. Number 4: VASP energy -5.067 eV per atom, spin magnetization 0.0 μB/cell. Number 5: VASP energy -5.312 eV per atom, spin magnetization 0.0 μB/cell. Number 6: VASP energy -4.637 eV per atom, spin magnetization 0.0 μB/cell. Number 7: VASP energy -5.779 eV per atom, spin magnetization 0.0 μB/cell. Number 8: VASP energy -5.528 eV per atom, spin magnetization 0.0 μB/cell. Number 9: VASP energy -5.444 eV per atom, spin magnetization 0.0 μB/cell. Number 10: VASP energy -9.022 eV per atom, spin magnetization 3.0 μB/cell. Number 11: VASP energy -4.708 eV per atom, spin magnetization 0.0 μB/cell. Number 12: VASP energy -2.468 eV per atom, spin magnetization 0.0 μB/cell. Number 13: VASP energy -1.481 eV per atom, spin magnetization 0.0 μB/cell.